The following is a DFT calculation (PBE) of HoCr2B6 after structural relaxation.

The crystal system is hexagonal. The energy of formation from the pure elements comes out at -0.36 eV per atom. As for the space-group type: P6/mmm (191). The density of states at the Fermi level comes out at 0.24 states/eV/atom.

a b c (Å): 3.3741 5.2904 5.2905
angles (deg): 120.00 90.01 90.00
Site moments in Bohr magnetons follow the coordinates.
Positions (direct):
B  0.5002  0.3422  0.3422  -0.04
B  0.4998  0.6578  0.6578  -0.04
B  0.5000  0.3422  0.0000  -0.04
B  0.4998  0.0000  0.6578  -0.04
B  0.5002  0.0000  0.3422  -0.04
B  0.5000  0.6578  0.0000  -0.04
Cr  0.9999  0.6667  0.3333  1.61
Cr  0.0001  0.3333  0.6667  1.61
Ho  0.0000  0.0000  0.0000  -0.14